First-principles (PBE) data for a relaxed Na5In2Pb6 crystal, as listed in the Alexandria database.

It has space group Pbam (No. 55), with a = 11.0716 Å, b = 20.3030 Å, c = 3.4468 Å, α = 90.00°, β = 90.00° and γ = 90.00°. The asymmetric unit holds Na at (0.0000, 0.0000, 0.0000), Na at (0.1094, 0.2541, 0.0000), Na at (0.1543, 0.5341, 0.0000), In at (0.1386, 0.7042, 0.5000), Pb at (0.0854, 0.3950, 0.5000), Pb at (0.1302, 0.1161, 0.5000) and Pb at (0.1431, 0.8484, 0.0000).

As for the volume: 29.8 Å³/atom. The density is 6.81 g/cm3. The calculation puts the formation enthalpy at 0 K at -0.09 eV per atom. Its crystal system is orthorhombic.